1.
Na2PPd2 (PBE, optimized geometry); symmetry = No. 127; uncorrected energy = -4.059 eV/atom; volume = 189 Å³/cell
1.0
6.208 0.000 0.000
0.000 6.208 0.000
0.000 0.000 4.907
Na P Pd
4 2 4
Direct
0.170 0.330 0.000 Na
0.330 0.830 0.000 Na
0.670 0.170 0.000 Na
0.830 0.670 0.000 Na
0.000 0.000 0.500 P
0.500 0.500 0.500 P
0.161 0.661 0.500 Pd
0.339 0.161 0.500 Pd
0.661 0.839 0.500 Pd
0.839 0.339 0.500 Pd

2.
CsNaPd (PBE, optimized geometry); symmetry = No. 216; uncorrected energy = -2.294 eV/atom; volume = 115 Å³/cell
1.0
0.000 3.858 3.858
3.858 0.000 3.858
3.858 3.858 0.000
Cs Na Pd
1 1 1
Direct
0.000 0.000 0.000 Cs
0.500 0.500 0.500 Na
0.250 0.250 0.250 Pd

3.
PuZn (PBE, optimized geometry); size of the total moment = 5.87 μB/f.u.; symmetry = No. 187; volume = 172 Å³/cell; formation energy = 1.6 kJ/mol of atoms
1.0
6.364 0.000 0.000
-3.182 5.511 0.000
0.000 0.000 4.895
Pu Zn
4 4
Direct
0.000 0.000 0.000 Pu
0.341 0.171 0.500 Pu
0.829 0.171 0.500 Pu
0.829 0.659 0.500 Pu
0.039 0.519 0.000 Zn
0.333 0.667 0.500 Zn
0.481 0.519 0.000 Zn
0.481 0.961 0.000 Zn

4.
TmTaGe (PBE, optimized geometry); size of the total moment = 3.03 μB/f.u.; symmetry = No. 216; uncorrected energy = -5.956 eV/atom; volume = 77 Å³/cell
1.0
0.000 3.375 3.375
3.375 0.000 3.375
3.375 3.375 0.000
Tm Ta Ge
1 1 1
Direct
0.000 0.000 0.000 Tm
0.250 0.250 0.250 Ta
0.750 0.750 0.750 Ge

5.
KUAgSe3 (PBE, optimized geometry); size of the total moment = 2.00 μB/f.u.; symmetry = No. 63; uncorrected energy = -5.297 eV/atom; volume = 339 Å³/cell
1.0
2.114 -7.380 0.000
2.114 7.380 0.000
0.000 0.000 10.878
K U Ag Se
2 2 2 6
Direct
0.244 0.756 0.750 K
0.756 0.244 0.250 K
0.500 0.500 0.000 U
0.500 0.500 0.500 U
0.045 0.955 0.250 Ag
0.955 0.045 0.750 Ag
0.129 0.871 0.040 Se
0.129 0.871 0.460 Se
0.434 0.566 0.250 Se
0.566 0.434 0.750 Se
0.871 0.129 0.540 Se
0.871 0.129 0.960 Se

6.
BeNbBiW (PBE, optimized geometry); energy above the lowest structure with this stoichiometry = 0.0000 eV/atom; size of the total moment = 0.01 μB/f.u.; symmetry = No. 216; volume = 70 Å³/cell
1.0
0.000 3.269 3.269
3.269 0.000 3.269
3.269 3.269 0.000
Be Nb Bi W
1 1 1 1
Direct
0.000 0.000 0.000 Be
0.250 0.250 0.250 Nb
0.750 0.750 0.750 Bi
0.500 0.500 0.500 W

7.
NdEr2Cd4In2 (PBE, optimized geometry); size of the total moment = 0.01 μB/f.u.; symmetry = No. 38; uncorrected energy = -2.940 eV/atom; volume = 225 Å³/cell
1.0
4.634 0.000 0.000
0.000 6.547 3.713
0.000 -6.547 3.713
Nd Er Cd In
1 2 4 2
Direct
0.000 0.000 0.000 Nd
0.000 0.424 0.851 Er
0.000 0.851 0.424 Er
0.000 0.436 0.436 Cd
0.500 0.186 0.426 Cd
0.500 0.426 0.186 Cd
0.500 0.670 0.670 Cd
0.500 0.095 0.754 In
0.500 0.754 0.095 In

8.
SnIr2Se5 (PBE, optimized geometry); size of the total moment = 0.01 μB/f.u.; symmetry = No. 11; uncorrected energy = -5.279 eV/atom; volume = 745 Å³/cell
1.0
7.765 0.000 0.000
0.000 7.630 0.000
-2.647 0.000 12.576
Sn Ir Se
4 8 20
Direct
0.164 0.250 0.337 Sn
0.165 0.750 0.338 Sn
0.835 0.250 0.662 Sn
0.836 0.750 0.663 Sn
0.249 0.250 0.147 Ir
0.249 0.750 0.148 Ir
0.255 0.000 0.850 Ir
0.255 0.500 0.850 Ir
0.745 0.000 0.150 Ir
0.745 0.500 0.150 Ir
0.751 0.250 0.852 Ir
0.751 0.750 0.853 Ir
0.044 0.000 0.105 Se
0.044 0.500 0.105 Se
0.189 0.250 0.717 Se
0.190 0.750 0.717 Se
0.246 0.001 0.471 Se
0.246 0.499 0.471 Se
0.333 0.750 0.973 Se
0.334 0.250 0.972 Se
0.460 0.000 0.219 Se
0.460 0.500 0.219 Se
0.540 0.000 0.781 Se
0.540 0.500 0.781 Se
0.666 0.750 0.028 Se
0.667 0.250 0.027 Se
0.754 0.501 0.529 Se
0.754 0.999 0.529 Se
0.810 0.250 0.283 Se
0.811 0.750 0.283 Se
0.956 0.000 0.895 Se
0.956 0.500 0.895 Se

9.
TbZrPb (PBE, optimized geometry); energy above the lowest structure with this stoichiometry = 0.4728 eV/atom; size of the total moment = 0.02 μB/f.u.; symmetry = No. 216; volume = 89 Å³/cell
1.0
0.000 3.540 3.540
3.540 0.000 3.540
3.540 3.540 0.000
Tb Zr Pb
1 1 1
Direct
0.000 0.000 0.000 Tb
0.500 0.500 0.500 Zr
0.250 0.250 0.250 Pb

10.
LiSmHgS3 (PBE, optimized geometry); energy above the lowest structure with this stoichiometry = 0.0000 eV/atom; size of the total moment = 0.00 μB/f.u.; symmetry = No. 62; volume = 555 Å³/cell
1.0
10.732 0.000 0.000
0.000 4.070 0.000
0.000 0.000 12.707
Li Sm Hg S
4 4 4 12
Direct
0.159 0.250 0.083 Li
0.341 0.750 0.583 Li
0.659 0.250 0.417 Li
0.841 0.750 0.917 Li
0.118 0.250 0.764 Sm
0.382 0.750 0.264 Sm
0.618 0.250 0.736 Sm
0.882 0.750 0.236 Sm
0.127 0.250 0.393 Hg
0.373 0.750 0.893 Hg
0.627 0.250 0.107 Hg
0.873 0.750 0.607 Hg
0.097 0.750 0.612 S
0.134 0.750 0.203 S
0.150 0.750 0.920 S
0.350 0.250 0.420 S
0.366 0.250 0.703 S
0.403 0.250 0.112 S
0.597 0.750 0.888 S
0.634 0.750 0.297 S
0.650 0.750 0.580 S
0.850 0.250 0.080 S
0.866 0.250 0.797 S
0.903 0.250 0.388 S

11.
Li4Zn2PtAu (PBE, optimized geometry); size of the total moment = 0.00 μB/f.u.; symmetry = No. 115; uncorrected energy = -2.930 eV/atom; volume = 114 Å³/cell
1.0
4.318 0.000 0.000
0.000 4.318 0.000
0.000 0.000 6.123
Li Zn Pt Au
4 2 1 1
Direct
0.000 0.000 0.000 Li
0.000 0.500 0.246 Li
0.500 0.000 0.754 Li
0.500 0.500 0.500 Li
0.000 0.500 0.763 Zn
0.500 0.000 0.237 Zn
0.500 0.500 0.000 Pt
0.000 0.000 0.500 Au

12.
Nd3Cu2Ge4 (PBE, optimized geometry); size of the total moment = 0.02 μB/f.u.; symmetry = No. 12; uncorrected energy = -5.183 eV/atom; volume = 194 Å³/cell
1.0
5.558 -2.118 0.000
5.558 2.118 0.000
-1.598 0.000 8.231
Nd Cu Ge
3 2 4
Direct
0.000 0.000 0.000 Nd
0.339 0.339 0.332 Nd
0.661 0.661 0.668 Nd
0.389 0.389 0.715 Cu
0.611 0.611 0.285 Cu
0.062 0.062 0.387 Ge
0.286 0.286 0.938 Ge
0.714 0.714 0.062 Ge
0.938 0.938 0.613 Ge